A relaxed Ce4P3O crystal, computed with PBE-GGA.

The space group is Cmmm (No. 65) and the conventional cell measures 7.9233, 11.2033 and 3.9676 Å, with angles of 90.00, 90.00 and 90.00 degrees. The distinct sites, in fractional coordinates, are Ce at (0.0000, 0.2401, 0.0000), Ce at (0.2315, 0.0000, 0.5000), P at (0.0000, 0.5000, 0.0000), P at (0.2500, 0.2500, 0.5000) and O at (0.0000, 0.0000, 0.0000).

As for the magnetization: 2.10 μB per formula unit. The value obtained for the energy is -7.366 eV/atom. The formation energy without anion corrections comes out at -14.01 eV/f.u.


A relaxed TlGa12 crystal, computed with PBE-GGA.

The space group is Fm-3m (No. 225) and the conventional cell measures 10.8574, 10.8574 and 10.8574 Å, with angles of 90.00, 90.00 and 90.00 degrees. The distinct sites, in fractional coordinates, are Tl at (0.0000, 0.0000, 0.0000) and Ga at (0.0000, 0.1702, 0.3298).

The value obtained for the offset from the most stable computed form is 0.000 eV per atom. As for the magnetization: 0.00 μB per formula unit. The value obtained for the energy is -2.884 eV/atom. The formation energy comes out at 9 kJ/mol of atoms.


A relaxed SrCaNd2 crystal, computed with PBE-GGA.

The space group is P4/mmm (No. 123) and the conventional cell measures 4.1981, 4.1981 and 9.1587 Å, with angles of 90.00, 90.00 and 90.00 degrees. The distinct sites, in fractional coordinates, are Sr at (0.0000, 0.0000, 0.0000), Ca at (0.0000, 0.0000, 0.5000) and Nd at (0.5000, 0.5000, 0.2837).

The value obtained for the offset from the most stable computed form is 0.021 eV per atom. As for the magnetization: 0.00 μB per formula unit. The value obtained for the energy is -3.146 eV/atom. The formation energy comes out at 15 kJ/mol of atoms.


A relaxed Er4TlCdIn2 crystal, computed with PBE-GGA.

The space group is R-3m (No. 166, hexagonal axes) and the conventional cell measures 5.2825, 5.2825 and 25.8473 Å, with angles of 90.00, 90.00 and 120.00 degrees. The distinct sites, in fractional coordinates, are Er at (0.0000, 0.0000, 0.1251), Er at (0.0000, 0.0000, 0.3752), Tl at (0.0000, 0.0000, 0.0000), Cd at (0.0000, 0.0000, 0.5000) and In at (0.0000, 0.0000, 0.2475).

As for the magnetization: 0.00 μB per formula unit. The value obtained for the energy is -3.759 eV/atom. The formation energy comes out at -37 kJ/mol of atoms.


A relaxed CeTlPbBr6 crystal, computed with PBE-GGA.

The space group is P-31c (No. 163) and the conventional cell measures 7.7809, 7.7809 and 14.1963 Å, with angles of 90.00, 90.00 and 120.00 degrees. The distinct sites, in fractional coordinates, are Ce at (0.3333, 0.6667, 0.2500), Tl at (0.0000, 0.0000, 0.0000), Pb at (0.3333, 0.6667, 0.7500) and Br at (0.0123, 0.3695, 0.1323).

As for the magnetization: 1.00 μB per formula unit. The value obtained for the energy is -3.766 eV/atom. The formation energy without anion corrections comes out at -11.85 eV/f.u.


A relaxed PaTiMnFe crystal, computed with PBE-GGA.

The space group is F-43m (No. 216) and the conventional cell measures 6.3225, 6.3225 and 6.3225 Å, with angles of 90.00, 90.00 and 90.00 degrees. The distinct sites, in fractional coordinates, are Pa at (0.0000, 0.0000, 0.0000), Ti at (0.0000, 0.0000, 0.5000), Mn at (0.2500, 0.2500, 0.2500) and Fe at (0.2500, 0.2500, 0.7500).

As for the magnetization: 0.83 μB per formula unit. The value obtained for the energy is -8.812 eV/atom. The formation energy comes out at -5 kJ/mol of atoms.